A:
# Er2AlZn3

An optimized crystal structure of Er2AlZn3 (GGA-PBE, Alexandria).

## Properties
- Density: 7.67 g cm⁻³
- Volume: 20.11 Å³/atom

POSCAR file:
```
Er2AlZn3
1.0
-3.5777 -0.6159 -4.3591
-3.3845 -0.2715 4.5445
2.4992 8.0904 -0.3672
Er Al Zn
4 2 6
direct
0.2500 0.7500 0.5000
0.7557 0.7557 0.0000
0.7500 0.2500 0.5000
0.2443 0.2443 0.0000
0.6658 0.6658 0.3315
0.3342 0.3342 0.6685
0.3335 0.8324 0.1658
0.1676 0.6665 0.8342
0.6665 0.1676 0.8342
0.8324 0.3335 0.1658
0.1663 0.1663 0.3327
0.8337 0.8337 0.6673
```



B:
# Er2AlZn3

An optimized crystal structure of Er2AlZn3 (GGA-PBE, Alexandria).

## Properties
- Density: 7.44 g cm⁻³
- Volume: 20.75 Å³/atom

POSCAR file:
```
Er2AlZn3
1.0
3.5738 0.0000 -0.9513
-0.3143 4.1546 -1.1807
0.2889 0.1164 8.2740
Er Al Zn
2 1 3
direct
0.1284 0.1284 0.2569
0.8721 0.3721 0.7443
0.4611 0.9611 0.9223
0.6990 0.6990 0.3979
0.5400 0.5400 0.0800
0.2993 0.7993 0.5986
```



Most stable pick: A. Distance to second place: 8.0 kJ/mol of atoms.